1.
Crystalline Mg2BeMo at its relaxed geometry. Source: Alexandria, functional PBEsol.

Geometry as POSCAR:
```
Mg2BeMo
1.0
2.854 0.000 0.000
0.000 4.486 0.000
-1.427 -2.243 4.657
Mg Be Mo
2 1 1
Cartesian
0.000 0.000 2.598
1.427 2.243 2.059
0.000 2.243 0.000
1.427 0.000 0.000
```

Values from the calculation:
The calculation puts the density at 4.28 Mg/m³. The symmetry is Immm (71). Its energy of formation is 1.514 eV/f.u. The calculation puts the density of states at the Fermi level at 0.309 states/eV per atom.

---

2.
Crystalline MgBe2N at its relaxed geometry. Source: Alexandria, functional PBEsol.

Geometry as POSCAR:
```
MgBe2N
1.0
-0.661 2.132 -3.303
-2.732 -1.209 -2.639
-3.406 2.029 -0.414
Be Mg N
2 1 1
Cartesian
-5.100 2.215 -4.767
-1.700 0.738 -1.589
-3.400 1.476 -3.178
0.000 0.000 0.000
```

Values from the calculation:
The calculation puts the density at 2.09 Mg/m³. The symmetry is Fm-3m (225). The calculation puts the density of states at the Fermi level at 0.665 states/eV per atom. As for the uncorrected formation energy: 1.2942 eV per atom.

---

3.
Crystalline Mg3BeNb at its relaxed geometry. Source: Alexandria, functional PBEsol.

Geometry as POSCAR:
```
Mg3BeNb
1.0
-1.273 0.174 4.353
-3.690 -2.455 -0.981
2.317 -3.814 0.830
Mg Be Nb
3 1 1
Cartesian
-0.636 0.087 2.177
1.158 -1.907 0.415
-1.845 -1.227 -0.490
0.000 0.000 0.000
-1.323 -3.047 2.101
```

Values from the calculation:
The calculation puts the density at 3.10 Mg/m³. The symmetry is Pm-3m (221). Its energy of formation is 4.044 eV/f.u. The calculation puts the density of states at the Fermi level at 0.671 states/eV per atom.

---

Q: Which formula does entry 2 have?
A: MgBe2N